1.
Below is a relaxed Mn5Cr crystal, with properties calculated at the GGA-PBE level.

a b c (Å): 4.5680 4.5680 3.9739
angles (deg): 90.00 90.00 120.00
Each line ends with the local moment (μB).
Positions (direct):
1 Mn 0.0000 0.5000 0.5000  0.44
2 Mn 0.3333 0.6667 0.0000  0.40
3 Mn 0.5000 0.0000 0.5000  0.44
4 Mn 0.6667 0.3333 0.0000  0.40
5 Mn 0.5000 0.5000 0.5000  0.44
6 Cr 0.0000 0.0000 0.0000  -1.92

Output
Its calculated formation energy is 0.37 eV/atom. The calculation puts the density of states at the Fermi level at 8.704 states/eV/f.u. Its calculated total energy is -8.874 eV/atom.

2.
Below is a relaxed Mn4Cr3 crystal, with properties calculated at the GGA-PBE level.

a b c (Å): 2.8101 2.8101 10.0781
angles (deg): 81.99 81.99 90.00
Positions (direct):
1 Cr 0.2866 0.2866 0.4269
2 Cr 0.0000 0.0000 0.0000
3 Cr 0.7134 0.7134 0.5731
4 Mn 0.4316 0.4316 0.1368
5 Mn 0.5684 0.5684 0.8632
6 Mn 0.8550 0.8550 0.2901
7 Mn 0.1450 0.1450 0.7099

Output
Its calculated formation energy is 0.08 eV/atom. The calculation puts the density of states at the Fermi level at 8.750 states/eV/f.u. Its calculated total energy is -9.288 eV/atom.

no.,total moment (μB per formula unit)
1,0.133
2,0.008